[1]
Below is a geometry-optimized EuErTl2 structure, with properties calculated at the PBEsol level.

a b c (Å): 5.348 5.348 5.348
angles (deg): 60.00 60.00 60.00
Site moments in Bohr magnetons follow the coordinates.
Fractional positions:
Eu  0.000  0.000  0.000  6.82
Tl  0.250  0.250  0.250  0.01
Tl  0.750  0.750  0.750  0.01
Er  0.500  0.500  0.500  0.12

Computed properties:
Space group ... No. 225
ΔH_f (0 K) ... -0.42 eV/atom



[2]
Below is a geometry-optimized ErF3 structure, with properties calculated at the PBEsol level.

a b c (Å): 4.325 6.237 6.747
angles (deg): 90.00 90.00 90.00
Fractional positions:
Er  0.938  0.370  0.750
Er  0.438  0.130  0.250
Er  0.062  0.630  0.250
Er  0.562  0.870  0.750
F  0.409  0.523  0.750
F  0.909  0.977  0.250
F  0.591  0.477  0.250
F  0.091  0.023  0.750
F  0.624  0.165  0.938
F  0.124  0.335  0.062
F  0.376  0.835  0.438
F  0.876  0.665  0.562
F  0.376  0.835  0.062
F  0.876  0.665  0.938
F  0.624  0.165  0.562
F  0.124  0.335  0.438

Computed properties:
Space group ... No. 62
E_form (uncorrected) ... -4208 meV/atom



[3]
Below is a geometry-optimized KEr3F10 structure, with properties calculated at the PBEsol level.

a b c (Å): 8.029 8.029 8.029
angles (deg): 60.00 60.00 60.00
Fractional positions:
Er  0.240  0.760  0.240
Er  0.760  0.240  0.760
Er  0.240  0.240  0.760
Er  0.760  0.760  0.240
Er  0.760  0.240  0.240
Er  0.240  0.760  0.760
F  0.112  0.112  0.112
F  0.664  0.112  0.112
F  0.112  0.112  0.664
F  0.112  0.664  0.112
F  0.336  0.888  0.888
F  0.888  0.888  0.888
F  0.888  0.888  0.336
F  0.888  0.336  0.888
F  0.500  0.831  0.500
F  0.169  0.500  0.831
F  0.831  0.500  0.169
F  0.500  0.169  0.500
F  0.500  0.500  0.831
F  0.831  0.169  0.500
F  0.169  0.831  0.500
F  0.500  0.500  0.169
F  0.831  0.500  0.500
F  0.500  0.831  0.169
F  0.500  0.169  0.831
F  0.169  0.500  0.500
K  0.250  0.250  0.250
K  0.750  0.750  0.750

Computed properties:
Space group ... No. 225
E_form (uncorrected) ... -4043 meV/atom



[4]
Below is a geometry-optimized K3ErF6 structure, with properties calculated at the PBEsol level.

a b c (Å): 6.255 6.506 8.902
angles (deg): 90.00 88.89 90.00
Fractional positions:
K  0.500  0.500  0.000
K  0.000  0.000  0.500
K  0.481  0.054  0.242
K  0.519  0.946  0.758
K  0.019  0.554  0.258
K  0.981  0.446  0.742
Er  0.500  0.500  0.500
Er  0.000  0.000  0.000
F  0.329  0.766  0.423
F  0.671  0.234  0.577
F  0.171  0.266  0.077
F  0.829  0.734  0.923
F  0.619  0.437  0.277
F  0.381  0.563  0.723
F  0.881  0.937  0.223
F  0.119  0.063  0.777
F  0.224  0.321  0.450
F  0.776  0.679  0.550
F  0.276  0.821  0.050
F  0.724  0.179  0.950

Computed properties:
Space group ... No. 14
E_form (uncorrected) ... -3365 meV/atom



[5]
Below is a geometry-optimized K3ErF6 structure, with properties calculated at the PBEsol level.

a b c (Å): 6.497 6.497 6.497
angles (deg): 60.00 60.00 60.00
Fractional positions:
K  0.750  0.750  0.750
K  0.250  0.250  0.250
K  0.500  0.500  0.500
F  0.769  0.231  0.769
F  0.769  0.769  0.231
F  0.231  0.231  0.769
F  0.769  0.231  0.231
F  0.231  0.769  0.231
F  0.231  0.769  0.769
Er  0.000  0.000  0.000

Computed properties:
Space group ... No. 225
E_form (uncorrected) ... -3293 meV/atom



[6]
Below is a geometry-optimized NaLiEr2F8 structure, with properties calculated at the PBEsol level.

a b c (Å): 6.578 6.578 6.933
angles (deg): 90.00 90.00 102.94
Fractional positions:
Na  0.658  0.658  0.750
Na  0.342  0.342  0.250
Li  0.000  0.000  0.000
Li  0.000  0.000  0.500
Er  0.450  0.076  0.750
Er  0.550  0.924  0.250
Er  0.076  0.450  0.750
Er  0.924  0.550  0.250
F  0.088  0.088  0.750
F  0.912  0.912  0.250
F  0.661  0.937  0.949
F  0.339  0.063  0.051
F  0.937  0.661  0.551
F  0.063  0.339  0.449
F  0.390  0.390  0.750
F  0.610  0.610  0.250
F  0.307  0.746  0.750
F  0.693  0.254  0.250
F  0.746  0.307  0.750
F  0.254  0.693  0.250
F  0.339  0.063  0.449
F  0.661  0.937  0.551
F  0.063  0.339  0.051
F  0.937  0.661  0.949

Computed properties:
Space group ... No. 63
E_form (uncorrected) ... -3780 meV/atom